Sm2FeSiO6 (PBE with a Hubbard U, relaxed); volume = 121.6 Å³/cell; Fermi-level density of states = 0.389 states/eV/atom; E_tot = -76.70 eV for the cell shown
1.0
5.2354 0.0000 0.0000
0.0000 5.2354 0.0000
0.0000 0.0000 4.4367
Sm Fe Si O
2 1 1 6
direct
0.0000 0.5000 0.0000
0.5000 0.0000 0.0000
0.0000 0.0000 0.5676
0.5000 0.5000 0.5648
0.0000 0.0000 0.1038
0.2722 0.2722 0.6678
0.2722 0.7278 0.6678
0.5000 0.5000 0.1877
0.7278 0.2722 0.6678
0.7278 0.7278 0.6678